Record 1
The following is a DFT calculation (PBE) of a geometry-optimized Tm3Si4Ir2 structure.

Results
**Offset from the most stable computed form**: 0.038 eV per atom
**Size of the total moment**: 0.000 μB per formula unit
**Space-group type**: C2/m (12)

Cell: 4.038 5.720 8.148 Å, 102.32 90.00 110.67°
Element x y z (fractional)
Tm 0.670 0.340 0.658
Tm 0.000 0.000 0.000
Tm 0.330 0.660 0.342
Si 0.722 0.444 0.063
Si 0.278 0.556 0.937
Si 0.951 0.903 0.617
Si 0.049 0.097 0.383
Ir 0.607 0.213 0.276
Ir 0.393 0.787 0.724

---

Record 2
The following is a DFT calculation (PBE) of a geometry-optimized Cd2Hg5 structure.

Results
**ΔE_f**: 20 kJ/mol of formula units
**Offset from the most stable computed form**: 0.007 eV per atom
**Size of the total moment**: 0.000 μB per formula unit
**Space-group type**: R-3m (166)

Cell: 5.300 5.300 8.068 Å, 70.83 70.83 60.00°
Element x y z (fractional)
Cd 0.642 0.642 0.074
Cd 0.358 0.358 0.926
Hg 0.071 0.071 0.788
Hg 0.783 0.783 0.651
Hg 0.500 0.500 0.500
Hg 0.217 0.217 0.349
Hg 0.929 0.929 0.212

---

Record 3
The following is a DFT calculation (PBE) of a geometry-optimized La2NbNi3As4 structure.

Results
**ΔE_f**: -778 kJ/mol of formula units
**Size of the total moment**: 0.000 μB per formula unit
**Space-group type**: P-4m2 (115)

Cell: 4.262 4.262 10.107 Å, 90.00 90.00 90.00°
Element x y z (fractional)
La 0.500 0.000 0.230
La 0.000 0.500 0.770
Nb 0.500 0.500 0.500
Ni 0.000 0.000 0.500
Ni 0.500 0.000 0.889
Ni 0.000 0.500 0.111
As 0.500 0.500 0.000
As 0.000 0.000 0.000
As 0.500 0.000 0.646
As 0.000 0.500 0.354

---

Record 4
The following is a DFT calculation (PBE) of a geometry-optimized SrIn6Hg5 structure.

Results
**ΔE_f**: -120 kJ/mol of formula units
**Size of the total moment**: 0.000 μB per formula unit
**Space-group type**: C2/m (12)

Cell: 5.736 5.993 13.776 Å, 72.71 51.62 61.41°
Element x y z (fractional)
Sr 0.000 0.000 0.000
Hg 0.154 0.691 0.500
Hg 0.322 0.355 0.000
Hg 0.500 0.000 0.500
Hg 0.678 0.645 0.000
Hg 0.846 0.309 0.500
In 0.512 0.347 0.272
In 0.141 0.347 0.728
In 0.791 0.000 0.756
In 0.209 0.000 0.244
In 0.859 0.653 0.272
In 0.488 0.653 0.728

---

Record 5
The following is a DFT calculation (PBE) of a geometry-optimized DyErSnRu structure.

Results
**ΔE_f**: -164 kJ/mol of formula units
**Offset from the most stable computed form**: 0.081 eV per atom
**Size of the total moment**: 0.000 μB per formula unit
**Space-group type**: F-43m (216)

Cell: 5.049 5.049 5.049 Å, 60.00 60.00 60.00°
Element x y z (fractional)
Ru 0.750 0.750 0.750
Dy 0.000 0.000 0.000
Sn 0.250 0.250 0.250
Er 0.500 0.500 0.500

---

Record 6
The following is a DFT calculation (PBE) of a geometry-optimized LiZrFe2 structure.

Results
**ΔE_f**: 167 kJ/mol of formula units
**Size of the total moment**: 4.682 μB per formula unit
**Space-group type**: R-3m (166)

Cell: 9.474 9.474 9.474 Å, 16.89 16.89 16.89°
Element x y z (fractional)
Fe 0.003 0.003 0.003
Fe 0.497 0.497 0.497
Li 0.750 0.750 0.750
Zr 0.250 0.250 0.250

---

Record 7
The following is a DFT calculation (PBE) of a geometry-optimized Cs2ThCl5 structure.

Results
**Total DFT energy (no corrections)**: -4.23 eV/atom
**Size of the total moment**: 0.000 μB per formula unit
**Space-group type**: Pbam (55)

Cell: 3.984 10.324 14.328 Å, 90.00 90.00 90.00°
Element x y z (fractional)
Cs 0.500 0.565 0.172
Cs 0.500 0.435 0.828
Cs 0.500 0.935 0.672
Cs 0.500 0.065 0.328
Th 0.000 0.500 0.500
Th 0.000 0.000 0.000
Cl 0.000 0.000 0.500
Cl 0.000 0.500 0.000
Cl 0.000 0.866 0.164
Cl 0.000 0.134 0.836
Cl 0.000 0.634 0.664
Cl 0.000 0.366 0.336
Cl 0.500 0.664 0.420
Cl 0.500 0.336 0.580
Cl 0.500 0.836 0.920
Cl 0.500 0.164 0.080

---

Record 8
The following is a DFT calculation (PBE) of a geometry-optimized In2ReAsSe structure.

Results
**Total DFT energy (no corrections)**: -4.03 eV/atom
**Size of the total moment**: 1.581 μB per formula unit
**Space-group type**: P4/mmm (123)

Cell: 5.492 4.589 5.492 Å, 90.00 90.00 90.00°
Element x y z (fractional)
Re 0.000 0.500 0.000
As 0.500 0.500 0.500
Se 0.000 0.000 0.000
In 0.000 0.000 0.500
In 0.500 0.000 0.000

---

Record 9
The following is a DFT calculation (PBE) of a geometry-optimized Zn2Cu2Pd3 structure.

Results
**ΔE_f**: -183 kJ/mol of formula units
**Size of the total moment**: 0.000 μB per formula unit
**Space-group type**: P-1 (2)

Cell: 4.755 3.890 5.902 Å, 90.02 95.13 114.31°
Element x y z (fractional)
Zn 0.838 0.420 0.279
Zn 0.162 0.580 0.721
Cu 0.268 0.134 0.432
Cu 0.732 0.866 0.568
Pd 0.000 0.000 0.000
Pd 0.574 0.287 0.832
Pd 0.426 0.713 0.168

---

Record 10
The following is a DFT calculation (PBE) of a geometry-optimized PrCu6Pt6 structure.

Results
**ΔE_f**: -429 kJ/mol of formula units
**Size of the total moment**: 0.000 μB per formula unit
**Space-group type**: Immm (71)

Cell: 5.026 6.745 6.745 Å, 83.01 68.12 68.12°
Element x y z (fractional)
Pr 0.000 0.000 0.000
Cu 0.000 0.500 0.000
Cu 0.500 0.500 0.000
Cu 0.000 0.000 0.500
Cu 0.500 0.000 0.500
Cu 0.500 0.770 0.230
Cu 0.500 0.230 0.770
Pt 0.345 0.655 0.655
Pt 0.655 0.345 0.345
Pt 0.000 0.347 0.653
Pt 0.000 0.653 0.347
Pt 0.290 0.210 0.210
Pt 0.710 0.790 0.790

---

Record 11
The following is a DFT calculation (PBE) of a geometry-optimized PmYTh14 structure.

Results
**ΔE_f**: 57 kJ/mol of formula units
**Size of the total moment**: 0.000 μB per formula unit
**Space-group type**: Amm2 (38)

Cell: 7.186 7.186 11.609 Å, 90.00 90.00 120.05°
Element x y z (fractional)
Pm 0.040 0.960 0.500
Y 0.541 0.459 0.500
Th 0.208 0.792 0.000
Th 0.708 0.292 0.000
Th 0.043 0.456 0.500
Th 0.208 0.292 0.000
Th 0.544 0.957 0.500
Th 0.708 0.792 0.000
Th 0.376 0.125 0.751
Th 0.376 0.125 0.249
Th 0.875 0.624 0.751
Th 0.875 0.624 0.249
Th 0.375 0.625 0.751
Th 0.375 0.625 0.249
Th 0.875 0.125 0.752
Th 0.875 0.125 0.248

---

Record 12
The following is a DFT calculation (PBE) of a geometry-optimized CdAgMo3 structure.

Results
**ΔE_f**: 1106 kJ/mol of formula units
**Offset from the most stable computed form**: 0.000 eV per atom
**Size of the total moment**: 0.000 μB per formula unit
**Space-group type**: Pm-3m (221)

Cell: 4.821 4.821 4.821 Å, 90.00 90.00 90.00°
Element x y z (fractional)
Mo 0.000 0.500 0.000
Mo 0.000 0.000 0.500
Mo 0.500 0.000 0.000
Ag 0.000 0.000 0.000
Cd 0.500 0.500 0.500

---

Record 13
The following is a DFT calculation (PBE) of a geometry-optimized Mg17Al11Ni structure.

Results
**ΔE_f**: -137 kJ/mol of formula units
**Size of the total moment**: 0.000 μB per formula unit
**Space-group type**: Cm (8)

Cell: 9.090 9.090 9.074 Å, 109.81 109.81 109.97°
Element x y z (fractional)
Mg 0.993 0.993 0.344
Mg 0.665 0.665 0.278
Mg 0.648 0.648 0.643
Mg 0.396 0.396 0.715
Mg 0.006 0.006 0.004
Mg 0.314 0.602 0.998
Mg 0.393 0.704 0.389
Mg 0.002 0.317 0.600
Mg 0.012 0.348 0.010
Mg 0.284 0.687 0.684
Mg 0.603 0.997 0.315
Mg 0.997 0.603 0.315
Mg 0.687 0.284 0.684
Mg 0.348 0.012 0.010
Mg 0.317 0.002 0.600
Mg 0.704 0.393 0.389
Mg 0.602 0.314 0.998
Al 0.207 0.207 0.853
Al 0.633 0.812 0.995
Al 0.187 0.367 0.363
Al 0.823 0.005 0.635
Al 0.636 0.998 0.810
Al 0.820 0.185 0.187
Al 0.185 0.820 0.187
Al 0.998 0.636 0.810
Al 0.005 0.823 0.635
Al 0.367 0.187 0.363
Al 0.812 0.633 0.995
Ni 0.357 0.357 0.192

---

Record 14
The following is a DFT calculation (PBE) of a geometry-optimized LiTlF5 structure.

Results
**Total DFT energy (no corrections)**: -3.76 eV/atom
**Size of the total moment**: 1.079 μB per formula unit
**Space-group type**: P2_1/c (14)

Cell: 4.297 7.829 11.991 Å, 90.00 90.00 115.82°
Element x y z (fractional)
Li 0.293 0.386 0.819
Li 0.207 0.114 0.319
Li 0.707 0.614 0.181
Li 0.793 0.886 0.681
Tl 0.749 0.246 0.037
Tl 0.751 0.254 0.537
Tl 0.251 0.754 0.963
Tl 0.249 0.746 0.463
F 0.941 0.463 0.890
F 0.559 0.037 0.390
F 0.059 0.537 0.110
F 0.441 0.963 0.610
F 0.120 0.536 0.603
F 0.380 0.964 0.103
F 0.880 0.464 0.397
F 0.620 0.036 0.897
F 0.218 0.222 0.472
F 0.282 0.278 0.972
F 0.782 0.778 0.528
F 0.718 0.722 0.028
F 0.978 0.169 0.193
F 0.522 0.331 0.693
F 0.022 0.831 0.807
F 0.478 0.669 0.307
F 0.013 0.179 0.702
F 0.487 0.321 0.202
F 0.987 0.821 0.298
F 0.513 0.679 0.798

---

Record 15
The following is a DFT calculation (PBE) of a geometry-optimized InCoRu2Au structure.

Results
**ΔE_f**: 487 kJ/mol of formula units
**Size of the total moment**: 0.464 μB per formula unit
**Space-group type**: P4/mmm (123)

Cell: 4.410 4.746 4.410 Å, 90.00 90.00 90.00°
Element x y z (fractional)
Ru 0.000 0.000 0.500
Ru 0.500 0.000 0.000
Co 0.000 0.000 0.000
Au 0.500 0.500 0.500
In 0.000 0.500 0.000

---

Record 16
The following is a DFT calculation (PBE) of a geometry-optimized SiW3 structure.

Results
**Total DFT energy (no corrections)**: -11.01 eV/atom
**Size of the total moment**: 0.000 μB per formula unit
**Space-group type**: Immm (71)

Cell: 5.147 5.147 5.147 Å, 143.79 130.25 63.07°
Element x y z (fractional)
Si 0.083 0.000 0.083
W 0.583 0.500 0.083
W 0.833 0.250 0.583
W 0.333 0.750 0.583

---

Record 17
The following is a DFT calculation (PBE) of a geometry-optimized BaSbH2 structure.

Results
**Offset from the most stable computed form**: 0.321 eV per atom
**Size of the total moment**: 0.000 μB per formula unit
**Space-group type**: Fm-3m (225)

Cell: 4.787 4.787 4.787 Å, 60.00 60.00 60.00°
Element x y z (fractional)
Sb 0.000 0.000 0.000
Ba 0.500 0.500 0.500
H 0.250 0.250 0.250
H 0.750 0.750 0.750

---

Record 18
The following is a DFT calculation (PBE) of a geometry-optimized Ta3MoPt structure.

Results
**ΔE_f**: 673 kJ/mol of formula units
**Offset from the most stable computed form**: 0.000 eV per atom
**Size of the total moment**: 0.000 μB per formula unit
**Space-group type**: Pm-3m (221)

Cell: 4.749 4.749 4.749 Å, 90.00 90.00 90.00°
Element x y z (fractional)
Mo 0.000 0.000 0.000
Pt 0.500 0.500 0.500
Ta 0.000 0.500 0.000
Ta 0.000 0.000 0.500
Ta 0.500 0.000 0.000

---

Record 19
The following is a DFT calculation (PBE) of a geometry-optimized NiP2BrCl structure.

Results
**Offset from the most stable computed form**: 0.000 eV per atom
**Size of the total moment**: 0.378 μB per formula unit
**Space-group type**: P4/mmm (123)

Cell: 4.523 4.523 4.625 Å, 90.00 90.00 90.00°
Element x y z (fractional)
Ni 0.000 0.000 0.000
P 0.000 0.500 0.000
P 0.500 0.000 0.000
Br 0.500 0.500 0.500
Cl 0.000 0.000 0.500

---

Record 20
The following is a DFT calculation (PBE) of a geometry-optimized La6Tm5Th structure.

Results
**ΔE_f**: 41 kJ/mol of formula units
**Size of the total moment**: 0.000 μB per formula unit
**Space-group type**: Immm (71)

Cell: 5.182 10.067 9.589 Å, 121.66 105.68 90.00°
Element x y z (fractional)
Tm 0.662 0.162 0.325
Tm 0.331 0.331 0.661
Tm 0.000 0.500 0.000
Tm 0.669 0.669 0.339
Tm 0.338 0.838 0.675
Th 0.000 0.000 0.000
La 0.836 0.584 0.672
La 0.836 0.088 0.672
La 0.500 0.749 0.000
La 0.500 0.251 0.000
La 0.164 0.912 0.328
La 0.164 0.416 0.328

---

Record 21
The following is a DFT calculation (PBE) of a geometry-optimized Nd3TmHg3 structure.

Results
**ΔE_f**: -185 kJ/mol of formula units
**Size of the total moment**: 0.000 μB per formula unit
**Space-group type**: C2/m (12)

Cell: 7.360 7.360 8.188 Å, 94.59 94.59 106.70°
Element x y z (fractional)
Nd 0.644 0.644 0.376
Nd 0.173 0.827 0.500
Nd 0.827 0.173 0.500
Nd 0.243 0.757 0.000
Nd 0.757 0.243 0.000
Nd 0.356 0.356 0.624
Tm 0.701 0.701 0.960
Tm 0.299 0.299 0.040
Hg 0.995 0.995 0.203
Hg 0.892 0.545 0.710
Hg 0.545 0.892 0.710
Hg 0.108 0.455 0.290
Hg 0.455 0.108 0.290
Hg 0.005 0.005 0.797

---

Record 22
The following is a DFT calculation (PBE) of a geometry-optimized HPd2RuAu structure.

Results
**Total DFT energy (no corrections)**: -5.07 eV/atom
**Size of the total moment**: 0.000 μB per formula unit
**Space-group type**: P4/mmm (123)

Cell: 4.054 4.054 3.949 Å, 90.00 90.00 90.00°
Element x y z (fractional)
Ru 0.000 0.000 0.500
Au 0.500 0.500 0.500
Pd 0.000 0.500 0.000
Pd 0.500 0.000 0.000
H 0.000 0.000 0.000